{"formula": "CsAgWO4", "functional": "PBE+U", "state": "optimized geometry", "e_tot_ev_per_atom": -5.95, "total_magnetization_mub_per_atom": 0.000, "dos_at_fermi_per_ev_atom": 0.000, "cell": [[5.675, 0.000, 0.000], [0.000, 6.640, 0.000], [-2.591, 0.000, 8.397]], "species": ["Cs", "Cs", "Ag", "Ag", "W", "W", "O", "O", "O", "O", "O", "O", "O", "O"], "fractional_positions": [[0.032, 0.250, 0.157], [0.968, 0.750, 0.843], [0.345, 0.750, 0.532], [0.655, 0.250, 0.468], [0.329, 0.250, 0.694], [0.671, 0.750, 0.306], [0.072, 0.250, 0.512], [0.211, 0.250, 0.864], [0.480, 0.525, 0.301], [0.480, 0.975, 0.301], [0.520, 0.025, 0.699], [0.520, 0.475, 0.699], [0.789, 0.750, 0.136], [0.928, 0.750, 0.488]]}